1.
Compound: Mg2CuIr
Source: Alexandria
Functional: PBE-GGA
Structure: optimized geometry

Results
Total moment ... 0.00 μB/f.u.
Final energy ... -4.244 eV/atom

The structure in CIF format:
```
data_Mg2CuIr
_chemical_formula_sum 'Mg4 Cu2 Ir2'
_cell_length_a 3.1504
_cell_length_b 4.3558
_cell_length_c 9.0610
_cell_angle_alpha 90.00
_cell_angle_beta 90.00
_cell_angle_gamma 90.00
_symmetry_space_group_name_H-M 'I m m 2'
_symmetry_Int_Tables_number 44
loop_
_symmetry_equiv_pos_as_xyz
'x,y,z'
'-x,-y,z'
'-x,y,z'
'x,-y,z'
'x+1/2,y+1/2,z+1/2'
'-x+1/2,-y+1/2,z+1/2'
'-x+1/2,y+1/2,z+1/2'
'x+1/2,-y+1/2,z+1/2'
loop_
_atom_site_label
_atom_site_type_symbol
_atom_site_fract_x
_atom_site_fract_y
_atom_site_fract_z
Mg1 Mg 0.0000 0.0000 0.0000
Mg2 Mg 0.0000 0.5000 0.2227
Cu1 Cu 0.0000 0.5000 0.7459
Ir1 Ir 0.0000 0.0000 0.4739
```


2.
Compound: NdInNi2
Source: Alexandria
Functional: PBE-GGA
Structure: optimized geometry

Results
Total moment ... 0.00 μB/f.u.
Final energy ... -4.917 eV/atom

The structure in CIF format:
```
data_NdInNi2
_chemical_formula_sum 'Nd1 In1 Ni2'
_cell_length_a 4.6786
_cell_length_b 4.6786
_cell_length_c 3.3713
_cell_angle_alpha 90.00
_cell_angle_beta 90.00
_cell_angle_gamma 90.00
_symmetry_space_group_name_H-M 'P 4/m m m'
_symmetry_Int_Tables_number 123
_symmetry_space_group_name_Hall '-P 4 2'
loop_
_atom_site_label
_atom_site_type_symbol
_atom_site_fract_x
_atom_site_fract_y
_atom_site_fract_z
Nd1 Nd 0.0000 0.0000 0.0000
In1 In 0.5000 0.5000 0.0000
Ni1 Ni 0.0000 0.5000 0.5000
```


3.
Compound: Na2TbHoS4
Source: Alexandria
Functional: PBE-GGA
Structure: optimized geometry

Results
Formation energy without anion corrections ... -1.849 eV per atom
Total moment ... 0.00 μB/f.u.
Final energy ... -5.393 eV/atom

The structure in CIF format:
```
data_Na2TbHoS4
_chemical_formula_sum 'Na2 Tb1 Ho1 S4'
_cell_length_a 6.9009
_cell_length_b 3.9853
_cell_length_c 7.0675
_cell_angle_alpha 90.00
_cell_angle_beta 108.96
_cell_angle_gamma 90.00
_symmetry_space_group_name_H-M 'P 1 2/m 1'
_symmetry_Int_Tables_number 10
loop_
_symmetry_equiv_pos_as_xyz
'x,y,z'
'-x,-y,-z'
'-x,y,-z'
'x,-y,z'
loop_
_atom_site_label
_atom_site_type_symbol
_atom_site_fract_x
_atom_site_fract_y
_atom_site_fract_z
Na1 Na 0.0000 0.0000 0.0000
Na2 Na 0.5000 0.5000 0.0000
Tb1 Tb 0.0000 0.5000 0.5000
Ho1 Ho 0.5000 0.0000 0.5000
S1 S 0.2442 0.0000 0.7270
S2 S 0.2601 0.5000 0.2739
```